## i
Computed, not measured: TlOsCl2 at its PBEsol-relaxed geometry at the SCAN level of DFT.

Summary:
D(E_F) in states/eV/atom: 0.30
Magnetization in μB/cell: 3.2
Volume in Å³/cell: 81.8
Space group: P4/mmm
Theoretical density in Mg/m³: 9.5

```
TlOsCl2
1.0
3.113 0.000 0.000
0.000 3.113 0.000
0.000 0.000 8.435
Cl Os Tl
2 1 1
direct
0.000 0.000 0.194 Cl
0.000 0.000 0.806 Cl
0.500 0.500 0.000 Os
0.500 0.500 0.500 Tl
```

## ii
Computed, not measured: TlOsCl2 at its PBEsol-relaxed geometry at the SCAN level of DFT.

Summary:
D(E_F) in states/eV/atom: 0.32
Magnetization in μB/cell: 0.0
Volume in Å³/cell: 85.2
Space group: Immm
Theoretical density in Mg/m³: 9.1

```
TlOsCl2
1.0
3.083 0.000 0.000
0.000 5.179 0.000
-1.542 -2.589 5.333
Cl Tl Os
2 1 1
direct
0.671 0.671 0.343 Cl
0.329 0.329 0.657 Cl
0.500 0.000 0.000 Tl
0.000 0.500 0.000 Os
```

## iii
Computed, not measured: TlOsCl2 at its PBEsol-relaxed geometry at the SCAN level of DFT.

Summary:
D(E_F) in states/eV/atom: 0.30
Magnetization in μB/cell: 0.0
Volume in Å³/cell: 83.6
Space group: Cmm2
Theoretical density in Mg/m³: 9.2

```
TlOsCl2
1.0
3.264 0.000 0.000
-1.632 2.895 0.000
0.000 0.000 8.848
Os Cl Tl
1 2 1
direct
0.000 0.000 0.490 Os
0.500 0.000 0.307 Cl
0.000 0.000 0.968 Cl
0.500 0.000 0.736 Tl
```

## iv
Computed, not measured: TlOsCl2 at its PBEsol-relaxed geometry at the SCAN level of DFT.

Summary:
D(E_F) in states/eV/atom: 0.29
Magnetization in μB/cell: 0.5
Volume in Å³/cell: 90.0
Space group: Cm
Theoretical density in Mg/m³: 8.6

```
TlOsCl2
1.0
3.506 0.000 0.000
-1.753 5.185 -0.016
0.000 -2.763 4.960
Cl Tl Os
2 1 1
direct
0.152 0.305 0.688 Cl
0.977 0.955 0.058 Cl
0.820 0.640 0.380 Tl
0.550 0.100 0.374 Os
```

iv comes first in stability; the runner-up is 9.9 kJ/mol of atoms higher.

## i
Computed, not measured: Os2WCl at its PBEsol-relaxed geometry at the SCAN level of DFT.

Summary:
D(E_F) in states/eV/atom: 0.65
Magnetization in μB/cell: 0.0
Volume in Å³/cell: 56.3
Space group: Immm
Theoretical density in Mg/m³: 17.7

```
Os2WCl
1.0
2.828 0.000 0.000
0.000 4.474 0.000
-1.414 -2.237 4.452
W Os Cl
1 2 1
direct
0.000 0.500 0.000 W
0.232 0.232 0.463 Os
0.768 0.768 0.537 Os
0.500 0.000 0.000 Cl
```

## ii
Computed, not measured: Os2WCl at its PBEsol-relaxed geometry at the SCAN level of DFT.

Summary:
D(E_F) in states/eV/atom: 0.55
Magnetization in μB/cell: 0.0
Volume in Å³/cell: 57.3
Space group: P2/m
Theoretical density in Mg/m³: 17.4

```
Os2WCl
1.0
2.823 0.000 -0.003
0.000 4.048 0.000
-1.334 0.000 5.014
Os W Cl
2 1 1
direct
0.865 0.000 0.739 Os
0.135 0.000 0.261 Os
0.500 0.500 0.000 W
0.500 0.500 0.500 Cl
```

ii comes first in stability; the runner-up is 10.0 kJ/mol of atoms higher.

## i
Computed, not measured: OsW2Cl at its PBEsol-relaxed geometry at the SCAN level of DFT.

Summary:
D(E_F) in states/eV/atom: 0.43
Magnetization in μB/cell: 0.0
Volume in Å³/cell: 60.8
Space group: P4mm
Theoretical density in Mg/m³: 16.2

```
OsW2Cl
1.0
2.851 0.000 0.000
0.000 2.851 0.000
0.000 0.000 7.481
Os Cl W
1 1 2
direct
0.500 0.500 0.765 Os
0.000 0.000 0.482 Cl
0.500 0.500 0.263 W
0.000 0.000 0.990 W
```

## ii
Computed, not measured: OsW2Cl at its PBEsol-relaxed geometry at the SCAN level of DFT.

Summary:
D(E_F) in states/eV/atom: 0.58
Magnetization in μB/cell: 0.0
Volume in Å³/cell: 59.5
Space group: R-3m
Theoretical density in Mg/m³: 16.6

```
OsW2Cl
1.0
2.831 0.000 0.000
1.416 2.452 0.000
1.416 0.817 8.574
W Cl Os
2 1 1
direct
0.751 0.751 0.747 W
0.249 0.249 0.253 W
0.500 0.500 0.500 Cl
0.000 0.000 0.000 Os
```

ii comes first in stability; the runner-up is 17.3 kJ/mol of atoms higher.

## i
Computed, not measured: P2Cl at its PBEsol-relaxed geometry at the SCAN level of DFT.

Summary:
D(E_F) in states/eV/atom: 0.61
Magnetization in μB/cell: 0.0
Volume in Å³/cell: 59.2
Space group: P6/mmm
Theoretical density in Mg/m³: 2.7

```
P2Cl
1.0
-1.980 0.243 3.322
3.746 -0.990 0.045
1.155 4.387 0.367
Cl P
1 2
direct
0.000 0.000 0.000 Cl
0.667 0.333 0.500 P
0.333 0.667 0.500 P
```

## ii
Computed, not measured: P2Cl at its PBEsol-relaxed geometry at the SCAN level of DFT.

Summary:
D(E_F) in states/eV/atom: 0.36
Magnetization in μB/cell: 0.0
Volume in Å³/cell: 179.9
Space group: Pnnm
Theoretical density in Mg/m³: 1.8

```
P2Cl
1.0
5.437 0.000 0.000
0.000 4.489 0.000
0.000 0.000 7.370
P Cl
4 2
direct
0.909 0.500 0.616 P
0.591 0.000 0.116 P
0.091 0.500 0.384 P
0.409 0.000 0.884 P
0.500 0.500 0.500 Cl
0.000 0.000 0.000 Cl
```

ii comes first in stability; the runner-up is 11.8 kJ/mol of atoms higher.